No. 1
A relaxed structure of PaBeCr, computed with PBE.

Cell: 4.9631 4.9631 8.6304 Å, 90.00 90.00 90.00°
Positions (direct):
Pa 0.2180 0.2180 0.0000
Pa 0.2820 0.7180 0.2500
Pa 0.7180 0.2820 0.7500
Pa 0.7820 0.7820 0.5000
Be 0.1015 0.8985 0.7500
Be 0.3985 0.3985 0.5000
Be 0.6015 0.6015 0.0000
Be 0.8985 0.1015 0.2500
Cr 0.0930 0.0930 0.5000
Cr 0.4070 0.5930 0.7500
Cr 0.5930 0.4070 0.2500
Cr 0.9070 0.9070 0.0000

**Energy of formation from the pure elements**: 0.663 eV/atom
**ΔE to the lowest computed polymorph**: 361 meV per atom

No. 2
A relaxed structure of KSm2RuO5, computed with PBE.

Cell: 6.7902 6.7902 5.8246 Å, 90.00 90.00 90.00°
Positions (direct):
K 0.0000 0.0000 0.0000
K 0.5000 0.5000 0.0000
Sm 0.1777 0.3223 0.5000
Sm 0.3223 0.8223 0.5000
Sm 0.6777 0.1777 0.5000
Sm 0.8223 0.6777 0.5000
Ru 0.0000 0.5000 0.0000
Ru 0.5000 0.0000 0.0000
O 0.0000 0.0000 0.5000
O 0.1344 0.6344 0.2518
O 0.1344 0.6344 0.7482
O 0.3656 0.1344 0.2518
O 0.3656 0.1344 0.7482
O 0.5000 0.5000 0.5000
O 0.6344 0.8656 0.2518
O 0.6344 0.8656 0.7482
O 0.8656 0.3656 0.2518
O 0.8656 0.3656 0.7482

**Raw total energy**: -7.274 eV/atom

No. 3
A relaxed structure of Ta5Mo2, computed with PBE.

Cell: 9.5233 9.5233 2.8869 Å, 96.15 96.15 28.03°
Positions (direct):
Ta 0.0000 0.0000 0.0000
Ta 0.1463 0.1463 0.4254
Ta 0.4258 0.4258 0.2736
Ta 0.5742 0.5742 0.7264
Ta 0.8537 0.8537 0.5746
Mo 0.2846 0.2846 0.8609
Mo 0.7154 0.7154 0.1391

**Energy of formation from the pure elements**: -0.065 eV/atom
**ΔE to the lowest computed polymorph**: 74 meV per atom

No. 4
A relaxed structure of Sc3GeTe2, computed with PBE.

Cell: 13.5115 12.8821 7.0909 Å, 79.38 69.57 31.05°
Positions (direct):
Sc 0.0373 0.5353 0.1849
Sc 0.0955 0.6545 0.6545
Sc 0.1849 0.7424 0.0373
Sc 0.2576 0.8151 0.4647
Sc 0.3455 0.9045 0.9045
Sc 0.4647 0.9627 0.2576
Sc 0.5353 0.0373 0.7424
Sc 0.6545 0.0955 0.0955
Sc 0.7424 0.1849 0.5353
Sc 0.8151 0.2576 0.9627
Sc 0.9045 0.3455 0.3455
Sc 0.9627 0.4647 0.8151
Ge 0.0415 0.0415 0.2085
Ge 0.2085 0.2085 0.0415
Ge 0.7915 0.7915 0.9585
Ge 0.9585 0.9585 0.7915
Te 0.1284 0.1284 0.6216
Te 0.2944 0.2944 0.4556
Te 0.3784 0.3784 0.8716
Te 0.4556 0.4556 0.2944
Te 0.5444 0.5444 0.7056
Te 0.6216 0.6216 0.1284
Te 0.7056 0.7056 0.5444
Te 0.8716 0.8716 0.3784

**ΔE to the lowest computed polymorph**: 0 meV per atom

No. 5
A relaxed structure of SrFe2Br, computed with PBE.

Cell: 5.0053 5.0053 5.0053 Å, 119.95 119.95 90.09°
Positions (direct):
Sr 0.0000 0.0000 0.0000
Fe 0.2500 0.7500 0.5000
Fe 0.5000 0.5000 0.0000
Br 0.7500 0.2500 0.5000

**ΔE to the lowest computed polymorph**: 524 meV per atom

No. 6
A relaxed structure of TiNb4, computed with PBE.

Cell: 2.8169 4.6520 7.3037 Å, 71.64 82.01 89.97°
Positions (direct):
Ti 0.0000 0.0000 0.0000
Nb 0.2061 0.8005 0.3984
Nb 0.4225 0.5985 0.8038
Nb 0.5775 0.4015 0.1962
Nb 0.7939 0.1995 0.6016

**Energy of formation from the pure elements**: -0.014 eV/atom
**ΔE to the lowest computed polymorph**: 0 meV per atom

No. 7
A relaxed structure of V4Ni2Mo, computed with PBE.

Cell: 6.7704 6.7704 6.7704 Å, 141.28 141.28 55.91°
Positions (direct):
V 0.0000 0.5000 0.5000
V 0.2040 0.2040 0.0000
V 0.5000 0.0000 0.5000
V 0.7960 0.7960 0.0000
Ni 0.3981 0.3981 0.0000
Ni 0.6019 0.6019 0.0000
Mo 0.0000 0.0000 0.0000

**Energy of formation from the pure elements**: 1.053 eV/atom

No. 8
A relaxed structure of Er4HgGeC, computed with PBE.

Cell: 8.0214 8.0214 6.7715 Å, 90.00 90.00 129.89°
Positions (direct):
Er 0.0000 0.5000 0.0000
Er 0.0000 0.5000 0.5000
Er 0.0800 0.9200 0.7500
Er 0.4171 0.5829 0.7500
Er 0.5000 0.0000 0.0000
Er 0.5000 0.0000 0.5000
Er 0.5829 0.4171 0.2500
Er 0.9200 0.0800 0.2500
Hg 0.3844 0.6156 0.2500
Hg 0.6156 0.3844 0.7500
Ge 0.1234 0.8766 0.2500
Ge 0.8766 0.1234 0.7500
C 0.2484 0.7516 0.7500
C 0.7516 0.2484 0.2500

**Energy of formation from the pure elements**: -0.513 eV/atom

No. 9
A relaxed structure of YSc2Te, computed with PBE.

Cell: 3.7565 3.7565 7.1926 Å, 90.00 90.00 90.00°
Positions (direct):
Y 0.0000 0.0000 0.0000
Sc 0.5000 0.5000 0.2782
Sc 0.5000 0.5000 0.7218
Te 0.0000 0.0000 0.5000

**Raw total energy**: -6.062 eV/atom

No. 10
A relaxed structure of Dy2Si6Pd21, computed with PBE.

Cell: 8.6563 8.6563 8.6563 Å, 60.00 60.00 60.00°
Positions (direct):
Dy 0.2500 0.2500 0.2500
Dy 0.7500 0.7500 0.7500
Si 0.2346 0.2346 0.7654
Si 0.2346 0.7654 0.2346
Si 0.2346 0.7654 0.7654
Si 0.7654 0.2346 0.2346
Si 0.7654 0.2346 0.7654
Si 0.7654 0.7654 0.2346
Pd 0.1164 0.1164 0.1164
Pd 0.1164 0.1164 0.6508
Pd 0.1164 0.6508 0.1164
Pd 0.1557 0.5000 0.5000
Pd 0.1557 0.5000 0.8443
Pd 0.1557 0.8443 0.5000
Pd 0.3492 0.8836 0.8836
Pd 0.5000 0.1557 0.5000
Pd 0.5000 0.1557 0.8443
Pd 0.5000 0.5000 0.1557
Pd 0.5000 0.5000 0.5000
Pd 0.5000 0.5000 0.8443
Pd 0.5000 0.8443 0.1557
Pd 0.5000 0.8443 0.5000
Pd 0.6508 0.1164 0.1164
Pd 0.8443 0.1557 0.5000
Pd 0.8443 0.5000 0.1557
Pd 0.8443 0.5000 0.5000
Pd 0.8836 0.3492 0.8836
Pd 0.8836 0.8836 0.3492
Pd 0.8836 0.8836 0.8836

**Raw total energy**: -5.918 eV/atom

No. 11
A relaxed structure of Na3Y3GeS8, computed with PBE.

Cell: 8.1240 8.1240 8.1240 Å, 57.51 57.51 57.51°
Positions (direct):
Na 0.0000 0.5000 0.5000
Na 0.5000 0.0000 0.5000
Na 0.5000 0.5000 0.0000
Y 0.0000 0.0000 0.5000
Y 0.0000 0.5000 0.0000
Y 0.5000 0.0000 0.0000
Ge 0.5000 0.5000 0.5000
S 0.2420 0.2420 0.2420
S 0.2685 0.7214 0.7214
S 0.2786 0.2786 0.7315
S 0.2786 0.7315 0.2786
S 0.7214 0.2685 0.7214
S 0.7214 0.7214 0.2685
S 0.7315 0.2786 0.2786
S 0.7580 0.7580 0.7580

**Raw total energy**: -5.536 eV/atom

No. 12
A relaxed structure of Mo3W, computed with PBE.

Cell: 2.6438 4.6562 5.2866 Å, 90.00 90.00 90.00°
Positions (direct):
Mo 0.0000 0.0000 0.0000
Mo 0.5000 0.5000 0.2506
Mo 0.5000 0.5000 0.7494
W 0.0000 0.0000 0.5000

**Energy of formation from the pure elements**: 0.316 eV/atom
**ΔE to the lowest computed polymorph**: 335 meV per atom

No. 13
A relaxed structure of Ac3YHo3Te8, computed with PBE.

Cell: 9.1344 9.1344 9.1344 Å, 58.40 58.40 58.40°
Positions (direct):
Ac 0.0000 0.5000 0.5000
Ac 0.5000 0.0000 0.5000
Ac 0.5000 0.5000 0.0000
Y 0.5000 0.5000 0.5000
Ho 0.0000 0.0000 0.5000
Ho 0.0000 0.5000 0.0000
Ho 0.5000 0.0000 0.0000
Te 0.2336 0.7482 0.7482
Te 0.2408 0.2408 0.2408
Te 0.2518 0.2518 0.7664
Te 0.2518 0.7664 0.2518
Te 0.7482 0.2336 0.7482
Te 0.7482 0.7482 0.2336
Te 0.7592 0.7592 0.7592
Te 0.7664 0.2518 0.2518

**Raw total energy**: -5.264 eV/atom

No. 14
A relaxed structure of Na2Mn2N3, computed with PBE.

Cell: 5.2995 5.6219 6.0288 Å, 90.00 115.12 90.00°
Positions (direct):
Na 0.1755 0.1144 0.4225
Na 0.1755 0.3856 0.9225
Na 0.8245 0.6144 0.0775
Na 0.8245 0.8856 0.5775
Mn 0.3412 0.5959 0.5724
Mn 0.3412 0.9041 0.0724
Mn 0.6588 0.0959 0.9276
Mn 0.6588 0.4041 0.4276
N 0.0000 0.0000 0.0000
N 0.0000 0.5000 0.5000
N 0.4061 0.6603 0.2965
N 0.4061 0.8397 0.7965
N 0.5939 0.1603 0.2035
N 0.5939 0.3397 0.7035

**Raw total energy**: -6.897 eV/atom

No. 15
A relaxed structure of Y2ErTl, computed with PBE.

Cell: 5.4660 5.4660 5.4660 Å, 60.00 60.00 60.00°
Positions (direct):
Y 0.0000 0.0000 0.0000
Y 0.2496 0.2496 0.2496
Er 0.4992 0.4992 0.4992
Tl 0.7496 0.7496 0.7496

**Energy of formation from the pure elements**: -0.015 eV/atom
**ΔE to the lowest computed polymorph**: 170 meV per atom

No. 16
A relaxed structure of Pr4Sn2O, computed with PBE.

Cell: 9.7959 9.7959 9.7959 Å, 151.82 151.82 40.28°
Positions (direct):
Pr 0.0000 0.5000 0.5000
Pr 0.1715 0.1715 0.0000
Pr 0.5000 0.0000 0.5000
Pr 0.8285 0.8285 0.0000
Sn 0.3520 0.3520 0.0000
Sn 0.6480 0.6480 0.0000
O 0.5000 0.5000 0.0000

**ΔE to the lowest computed polymorph**: 257 meV per atom

No. 17
A relaxed structure of Pm2PuMg, computed with PBE.

Cell: 5.6569 5.6569 3.6699 Å, 90.00 90.00 90.00°
Positions (direct):
Pm 0.0000 0.5000 0.0000
Pm 0.5000 0.0000 0.0000
Pu 0.0000 0.0000 0.5000
Mg 0.5000 0.5000 0.5000

**Energy of formation from the pure elements**: 0.077 eV/atom
**ΔE to the lowest computed polymorph**: 14 meV per atom

No. 18
A relaxed structure of TmZrSc14, computed with PBE.

Cell: 10.3111 6.6467 6.6467 Å, 60.07 90.00 90.00°
Positions (direct):
Tm 0.0000 0.0000 0.0000
Zr 0.0000 0.5015 0.5015
Sc 0.0000 0.4979 0.9990
Sc 0.0000 0.9990 0.4979
Sc 0.2461 0.3339 0.3339
Sc 0.2504 0.3354 0.8294
Sc 0.2504 0.8294 0.3354
Sc 0.2552 0.8313 0.8313
Sc 0.5000 0.9998 0.4991
Sc 0.5000 0.4991 0.9998
Sc 0.5000 0.4994 0.4994
Sc 0.5000 0.9993 0.9993
Sc 0.7448 0.8313 0.8313
Sc 0.7496 0.3354 0.8294
Sc 0.7496 0.8294 0.3354
Sc 0.7539 0.3339 0.3339

**Energy of formation from the pure elements**: 0.003 eV/atom

No. 19
A relaxed structure of Sr3La, computed with PBE.

Cell: 6.4898 6.4898 6.4898 Å, 60.00 60.00 60.00°
Positions (direct):
Sr 0.0000 0.0000 0.0000
Sr 0.2500 0.2500 0.2500
Sr 0.7500 0.7500 0.7500
La 0.5000 0.5000 0.5000

**Energy of formation from the pure elements**: 0.143 eV/atom
**ΔE to the lowest computed polymorph**: 49 meV per atom

No. 20
A relaxed structure of Ti3TlTc, computed with PBE.

Cell: 4.7471 4.7471 4.7471 Å, 90.00 90.00 90.00°
Positions (direct):
Ti 0.0000 0.0000 0.5000
Ti 0.0000 0.5000 0.0000
Ti 0.5000 0.0000 0.0000
Tl 0.5000 0.5000 0.5000
Tc 0.0000 0.0000 0.0000

**Energy of formation from the pure elements**: 0.444 eV/atom
**ΔE to the lowest computed polymorph**: 0 meV per atom